Entry from the Alexandria database: a relaxed structure of Zn2TePd (PBE-GGA).

It has space group I-42d (No. 122), with a = 5.936 Å, b = 5.936 Å, c = 11.947 Å, α = 90.00°, β = 90.00° and γ = 90.00°. The distinct sites, in fractional coordinates, are Zn at (0.224, 0.250, 0.125), Te at (0.000, 0.000, 0.500) and Pd at (0.000, 0.000, 0.000).

As for the size of the total moment: 0.00 μB/f.u. As for the uncorrected energy: -2.673 eV/atom. As for the density of states at the Fermi level: 0.00 states/eV/cell. The energy relative to the elements, uncorrected is 0.048 eV per atom.